This record from Alexandria via LeMat-Bulk describes DyErMg after structural relaxation. The functional is GGA-PBE.

Properties
ΔE_f = -0.035 eV per atom
Mass density = 6.878 g/cm³
Final energy = -3.622 eV per atom
DOS at the Fermi energy = 4.6 states/eV/f.u.
Spin magnetization = 0.165 μB per atom

```
data_DyErMg
_chemical_formula_sum 'Dy1 Er1 Mg1'
_cell_length_a 3.597
_cell_length_b 3.597
_cell_length_c 7.080
_cell_angle_alpha 104.72
_cell_angle_beta 104.72
_cell_angle_gamma 90.00
_symmetry_space_group_name_H-M 'P 1'
_symmetry_Int_Tables_number 1
_symmetry_space_group_name_Hall 'P 1'
loop_
_atom_site_label
_atom_site_type_symbol
_atom_site_fract_x
_atom_site_fract_y
_atom_site_fract_z
Dy1 Dy 0.005 0.005 0.010
Mg1 Mg 0.667 0.667 0.335
Er1 Er 0.328 0.328 0.655
```